Compound: CsBaGd
Source: OQMD
Functional: GGA-PBE
Structure: optimized geometry

```
CsBaGd
1.0
9.456 0.000 0.000
0.000 9.456 0.000
0.000 0.000 9.456
Cs Ba Gd
4 4 4
direct
0.000 0.000 0.000
0.000 0.500 0.500
0.500 0.000 0.500
0.500 0.500 0.000
0.000 0.000 0.500
0.000 0.500 0.000
0.500 0.000 0.000
0.500 0.500 0.500
0.250 0.250 0.750
0.250 0.750 0.250
0.750 0.250 0.250
0.750 0.750 0.750
```

Results
Final energy (eV/cell): -18.47

Compound: ZrGeTe
Source: OQMD
Functional: GGA-PBE
Structure: optimized geometry

```
ZrGeTe
1.0
6.816 0.000 0.000
0.000 6.816 0.000
0.000 0.000 6.816
Zr Ge Te
4 4 4
direct
0.000 0.000 0.000
0.000 0.500 0.500
0.500 0.000 0.500
0.500 0.500 0.000
0.250 0.250 0.750
0.250 0.750 0.250
0.750 0.250 0.250
0.750 0.750 0.750
0.250 0.250 0.250
0.250 0.750 0.750
0.750 0.250 0.750
0.750 0.750 0.250
```

Results
Final energy (eV/cell): -66.58

Compound: ScTaNO
Source: OQMD
Functional: GGA-PBE
Structure: optimized geometry

```
ScTaNO
1.0
3.283 0.000 0.000
0.000 5.813 0.000
0.000 0.000 5.570
Sc Ta N O
2 2 2 2
direct
0.000 0.169 0.000
0.000 0.831 0.500
0.500 0.390 0.425
0.500 0.610 0.925
0.000 0.187 0.393
0.000 0.813 0.893
0.500 0.262 0.795
0.500 0.738 0.295
```

Results
Final energy (eV/cell): -76.69

Compound: TaZnCuHg
Source: OQMD
Functional: GGA-PBE
Structure: optimized geometry

```
TaZnCuHg
1.0
6.431 0.000 0.000
0.000 6.431 0.000
0.000 0.000 6.431
Ta Zn Cu Hg
4 4 4 4
direct
0.000 0.000 0.000
0.000 0.500 0.500
0.500 0.000 0.500
0.500 0.500 0.000
0.000 0.000 0.500
0.000 0.500 0.000
0.500 0.000 0.000
0.500 0.500 0.500
0.250 0.250 0.750
0.250 0.750 0.250
0.750 0.250 0.250
0.750 0.750 0.750
0.250 0.250 0.250
0.250 0.750 0.750
0.750 0.250 0.750
0.750 0.750 0.250
```

Results
Calculated formation energy (eV per formula unit): 1.74
Final energy (eV/cell): -61.56

Compound: NiAu3
Source: OQMD
Functional: GGA-PBE
Structure: optimized geometry

```
NiAu3
1.0
4.028 0.000 0.000
0.000 4.028 0.000
0.000 0.000 4.028
Ni Au
1 3
direct
0.000 0.000 0.000
0.000 0.500 0.500
0.500 0.000 0.500
0.500 0.500 0.000
```

Results
Calculated formation energy (eV per formula unit): 0.32
Final energy (eV/cell): -15.04

Compound: Pm4HgTe3
Source: OQMD
Functional: GGA-PBE
Structure: optimized geometry

```
Pm4HgTe3
1.0
9.095 0.000 0.000
0.000 12.601 0.000
0.000 0.000 4.360
Pm Hg Te
8 2 6
direct
0.000 0.246 0.000
0.000 0.754 0.000
0.243 0.000 0.500
0.257 0.500 0.500
0.500 0.254 0.000
0.500 0.746 0.000
0.743 0.500 0.500
0.757 0.000 0.500
0.000 0.000 0.000
0.500 0.500 0.000
0.000 0.500 0.000
0.250 0.250 0.500
0.250 0.750 0.500
0.500 0.000 0.000
0.750 0.250 0.500
0.750 0.750 0.500
```

Results
Final energy (eV/cell): -76.51

Compound: FePd5N
Source: OQMD
Functional: GGA-PBE
Structure: optimized geometry

```
FePd5N
1.0
3.815 0.000 0.000
0.000 3.815 0.000
0.000 0.000 6.730
Fe Pd N
1 5 1
direct
0.000 0.000 0.000
0.000 0.500 0.297
0.000 0.500 0.703
0.500 0.000 0.297
0.500 0.000 0.703
0.500 0.500 0.000
0.500 0.500 0.500
```

Results
Final energy (eV/cell): -40.38

Compound: NiSbAs
Source: OQMD
Functional: GGA-PBE
Structure: optimized geometry

```
NiSbAs
1.0
4.984 0.000 0.000
0.000 3.735 0.000
-0.330 0.000 6.117
Ni Sb As
2 2 2
direct
0.000 0.000 0.000
0.500 0.500 0.500
0.224 0.000 0.651
0.776 0.000 0.349
0.293 0.500 0.127
0.707 0.500 0.873
```

Results
Final energy (eV/cell): -29.78

Compound: NaNbO3
Source: OQMD
Functional: GGA-PBE
Structure: optimized geometry

```
NaNbO3
1.0
5.568 0.000 0.000
0.000 7.806 0.000
0.000 0.000 5.470
Na Nb O
4 4 12
direct
0.030 0.250 0.007
0.470 0.750 0.507
0.530 0.250 0.493
0.970 0.750 0.993
0.000 0.000 0.500
0.000 0.500 0.500
0.500 0.000 0.000
0.500 0.500 0.000
0.017 0.750 0.421
0.210 0.540 0.791
0.210 0.960 0.791
0.290 0.040 0.291
0.290 0.460 0.291
0.483 0.250 0.921
0.517 0.750 0.079
0.710 0.540 0.709
0.710 0.960 0.709
0.790 0.040 0.209
0.790 0.460 0.209
0.983 0.250 0.579
```

Results
Final energy (eV/cell): -153.18

Compound: GdSiPt2
Source: OQMD
Functional: GGA-PBE
Structure: optimized geometry

```
GdSiPt2
1.0
4.376 0.000 0.000
0.000 6.069 0.000
0.000 0.000 6.189
Gd Si Pt
2 2 4
direct
0.000 0.215 0.000
0.000 0.785 0.500
0.500 0.296 0.620
0.500 0.704 0.120
0.000 0.324 0.478
0.000 0.676 0.978
0.500 0.056 0.305
0.500 0.944 0.805
```

Results
Final energy (eV/cell): -51.42

Compound: TbNiPt
Source: OQMD
Functional: GGA-PBE
Structure: optimized geometry

```
TbNiPt
1.0
6.160 0.000 0.000
0.000 6.160 0.000
0.000 0.000 6.160
Tb Ni Pt
4 4 4
direct
0.000 0.000 0.000
0.000 0.500 0.500
0.500 0.000 0.500
0.500 0.500 0.000
0.250 0.250 0.750
0.250 0.750 0.250
0.750 0.250 0.250
0.750 0.750 0.750
0.000 0.000 0.500
0.000 0.500 0.000
0.500 0.000 0.000
0.500 0.500 0.500
```

Results
Calculated formation energy (eV per formula unit): -1.78
Final energy (eV/cell): -72.11

Compound: HgBiAu2
Source: OQMD
Functional: GGA-PBE
Structure: optimized geometry

```
HgBiAu2
1.0
7.118 0.000 0.000
0.000 7.118 0.000
0.000 0.000 7.118
Hg Bi Au
4 4 8
direct
0.000 0.000 0.000
0.000 0.500 0.500
0.500 0.000 0.500
0.500 0.500 0.000
0.250 0.250 0.750
0.250 0.750 0.250
0.750 0.250 0.250
0.750 0.750 0.750
0.000 0.000 0.500
0.000 0.500 0.000
0.250 0.250 0.250
0.250 0.750 0.750
0.500 0.000 0.000
0.500 0.500 0.500
0.750 0.250 0.750
0.750 0.750 0.250
```

Results
Final energy (eV/cell): -40.42

Which value of final energy does entry 10 give? -51.42 eV/cell